Record 1
A relaxed structure of ScCd2Ir, computed with PBE-GGA.

Structure (CIF):
```
data_ScCd2Ir
_symmetry_space_group_name_H-M 'F -4 3 m'
_symmetry_Int_Tables_number 216
_symmetry_space_group_name_Hall 'F -4 2 3'
_cell_length_a 6.658
_cell_length_b 6.658
_cell_length_c 6.658
_cell_angle_alpha 90.00
_cell_angle_beta 90.00
_cell_angle_gamma 90.00
loop_
_atom_site_label
_atom_site_type_symbol
_atom_site_fract_x
_atom_site_fract_y
_atom_site_fract_z
Sc1 Sc 0.000 0.000 0.000
Cd1 Cd 0.000 0.000 0.500
Cd2 Cd 0.250 0.250 0.750
Ir1 Ir 0.250 0.250 0.250
```

Calculated values
calculated formation energy = -0.283 eV per atom

Record 2
A relaxed structure of HfCuTcTe, computed with PBE-GGA.

Structure (CIF):
```
data_HfCuTcTe
_symmetry_space_group_name_H-M 'F -4 3 m'
_symmetry_Int_Tables_number 216
_symmetry_space_group_name_Hall 'F -4 2 3'
_cell_length_a 6.514
_cell_length_b 6.514
_cell_length_c 6.514
_cell_angle_alpha 90.00
_cell_angle_beta 90.00
_cell_angle_gamma 90.00
loop_
_atom_site_label
_atom_site_type_symbol
_atom_site_fract_x
_atom_site_fract_y
_atom_site_fract_z
Hf1 Hf 0.000 0.000 0.000
Cu1 Cu 0.250 0.250 0.250
Tc1 Tc 0.250 0.250 0.750
Te1 Te 0.000 0.000 0.500
```

Calculated values
energy relative to the lowest polymorph listed for this composition = 0 meV/atom

Record 3
A relaxed structure of NiTeAs2, computed with PBE-GGA.

Structure (CIF):
```
data_NiTeAs2
_symmetry_space_group_name_H-M 'F -4 3 m'
_symmetry_Int_Tables_number 216
_symmetry_space_group_name_Hall 'F -4 2 3'
_cell_length_a 6.656
_cell_length_b 6.656
_cell_length_c 6.656
_cell_angle_alpha 90.00
_cell_angle_beta 90.00
_cell_angle_gamma 90.00
loop_
_atom_site_label
_atom_site_type_symbol
_atom_site_fract_x
_atom_site_fract_y
_atom_site_fract_z
Ni1 Ni 0.000 0.000 0.000
Te1 Te 0.250 0.250 0.750
As1 As 0.000 0.000 0.500
As2 As 0.250 0.250 0.250
```

Calculated values
E_tot = -4.0361 eV per atom

Record 4
A relaxed structure of TaHgO3, computed with PBE-GGA.

Structure (CIF):
```
data_TaHgO3
_symmetry_space_group_name_H-M 'P -3 1 m'
_symmetry_Int_Tables_number 162
_symmetry_space_group_name_Hall '-P 3 2'
_cell_length_a 5.2970
_cell_length_b 5.2970
_cell_length_c 7.4979
_cell_angle_alpha 90.00
_cell_angle_beta 90.00
_cell_angle_gamma 120.00
loop_
_atom_site_label
_atom_site_type_symbol
_atom_site_fract_x
_atom_site_fract_y
_atom_site_fract_z
Ta1 Ta 0.3333 0.6667 0.0000
Hg1 Hg 0.0000 0.0000 0.3285
O1 O 0.0000 0.3739 0.1459
```

Calculated values
E_tot = -7.4569 eV per atom

Record 5
A relaxed structure of Mo3N2, computed with PBE-GGA.

Structure (CIF):
```
data_Mo3N2
_symmetry_space_group_name_H-M 'R -3 m'
_symmetry_Int_Tables_number 166
_symmetry_space_group_name_Hall '-R 3 2"'
_cell_length_a 2.8668
_cell_length_b 2.8668
_cell_length_c 23.9255
_cell_angle_alpha 90.00
_cell_angle_beta 90.00
_cell_angle_gamma 120.00
loop_
_atom_site_label
_atom_site_type_symbol
_atom_site_fract_x
_atom_site_fract_y
_atom_site_fract_z
Mo1 Mo 0.0000 0.0000 0.0000
Mo2 Mo 0.0000 0.0000 0.1180
N1 N 0.0000 0.0000 0.2721
```

Calculated values
energy relative to the lowest polymorph listed for this composition = 0 meV/atom

Record 6
A relaxed structure of Rb2ThTe3, computed with PBE-GGA.

Structure (CIF):
```
data_Rb2ThTe3
_symmetry_space_group_name_H-M 'C m c m'
_symmetry_Int_Tables_number 63
_symmetry_space_group_name_Hall '-C 2c 2'
_cell_length_a 4.693
_cell_length_b 19.794
_cell_length_c 13.314
_cell_angle_alpha 90.00
_cell_angle_beta 90.00
_cell_angle_gamma 90.00
loop_
_atom_site_label
_atom_site_type_symbol
_atom_site_fract_x
_atom_site_fract_y
_atom_site_fract_z
Rb1 Rb 0.000 0.136 0.250
Rb2 Rb 0.000 0.137 0.750
Th1 Th 0.000 0.500 0.000
Te1 Te 0.000 0.107 0.000
Te2 Te 0.000 0.499 0.250
```

Calculated values
E_tot = -4.1842 eV per atom

Record 7
A relaxed structure of PmOsPd, computed with PBE-GGA.

Structure (CIF):
```
data_PmOsPd
_symmetry_space_group_name_H-M 'F -4 3 m'
_symmetry_Int_Tables_number 216
_symmetry_space_group_name_Hall 'F -4 2 3'
_cell_length_a 6.462
_cell_length_b 6.462
_cell_length_c 6.462
_cell_angle_alpha 90.00
_cell_angle_beta 90.00
_cell_angle_gamma 90.00
loop_
_atom_site_label
_atom_site_type_symbol
_atom_site_fract_x
_atom_site_fract_y
_atom_site_fract_z
Pm1 Pm 0.000 0.000 0.000
Os1 Os 0.250 0.250 0.750
Pd1 Pd 0.000 0.000 0.500
```

Calculated values
energy relative to the lowest polymorph listed for this composition = 0 meV/atom
calculated formation energy = 0.420 eV per atom

Record 8
A relaxed structure of PmPN6, computed with PBE-GGA.

Structure (CIF):
```
data_PmPN6
_symmetry_space_group_name_H-M 'R -3 m'
_symmetry_Int_Tables_number 166
_symmetry_space_group_name_Hall '-R 3 2"'
_cell_length_a 6.3586
_cell_length_b 6.3586
_cell_length_c 7.3782
_cell_angle_alpha 90.00
_cell_angle_beta 90.00
_cell_angle_gamma 120.00
loop_
_atom_site_label
_atom_site_type_symbol
_atom_site_fract_x
_atom_site_fract_y
_atom_site_fract_z
Pm1 Pm 0.0000 0.0000 0.0000
P1 P 0.0000 0.0000 0.5000
N1 N 0.0968 0.1936 0.6798
```

Calculated values
E_tot = -6.5601 eV per atom

| no. | spin magnetization (μB/cell) |
| --- | --- |
| 1 | 0.001 |
| 2 | 0.027 |
| 3 | 0.012 |
| 4 | 0.004 |
| 5 | 0.024 |
| 6 | 0.029 |
| 7 | 3.998 |
| 8 | 0.010 |